Record 1
{
  "formula": "La6SiPt2I3",
  "functional": "PBE-GGA",
  "state": "relaxed",
  "lattice_angstrom": [[7.610, -0.022, 0.001], [-3.822, 6.580, 0.001], [-1.263, -2.187, 7.983]],
  "species": ["La", "La", "La", "La", "La", "La", "Si", "Pt", "Pt", "I", "I", "I"],
  "frac_coords": [[0.932, 0.594, 0.805], [0.726, 0.726, 0.196], [0.068, 0.406, 0.195], [0.594, 0.932, 0.805], [0.274, 0.274, 0.804], [0.406, 0.068, 0.195], [0.000, 0.000, 0.000], [0.333, 0.667, 0.000], [0.667, 0.333, 0.000], [0.163, 0.837, 0.500], [0.837, 0.163, 0.500], [0.500, 0.500, 0.500]],
  "volume_a3_per_atom": 33.26,
  "mass_density_g_cm3": 6.8,
  "e_tot_ev_per_cell": -64.94,
  "sg": "C2/m, No. 12"
}



Record 2
{
  "formula": "La4SiPtI2",
  "functional": "PBE-GGA",
  "state": "relaxed",
  "lattice_angstrom": [[4.283, 0.000, 0.000], [0.000, 7.872, 0.244], [0.000, -2.659, 7.757]],
  "species": ["La", "La", "La", "La", "Si", "Pt", "I", "I"],
  "frac_coords": [[0.500, 0.232, 0.205], [0.500, 0.768, 0.795], [0.000, 0.278, 0.809], [0.000, 0.722, 0.191], [0.000, 0.000, 0.000], [0.500, 0.500, 0.000], [0.500, 0.000, 0.500], [0.000, 0.500, 0.500]],
  "volume_a3_per_atom": 33.04,
  "mass_density_g_cm3": 6.5,
  "e_tot_ev_per_cell": -42.83,
  "sg": "P2/m, No. 10"
}



Record 3
{
  "formula": "La2SmPt2I2",
  "functional": "PBE-GGA",
  "state": "relaxed",
  "lattice_angstrom": [[-3.170, 4.065, -1.469], [-2.731, -3.296, -3.227], [-2.260, -2.188, 8.601]],
  "species": ["La", "La", "Sm", "Pt", "Pt", "I", "I"],
  "frac_coords": [[0.396, 0.396, 0.791], [0.604, 0.604, 0.209], [0.000, 0.000, 0.000], [0.000, 0.500, 0.000], [0.500, 0.000, 0.000], [0.194, 0.194, 0.389], [0.806, 0.806, 0.611]],
  "volume_a3_per_atom": 34.23,
  "mass_density_g_cm3": 7.4,
  "e_tot_ev_per_cell": -36.67,
  "sg": "I4/mmm, No. 139"
}



Record 4
{
  "formula": "La8SnPt3I4",
  "functional": "PBE-GGA",
  "state": "relaxed",
  "lattice_angstrom": [[8.851, 0.000, 0.000], [0.000, 9.544, 0.481], [-4.425, -4.430, 6.265]],
  "species": ["La", "La", "La", "La", "La", "La", "La", "La", "Sn", "Pt", "Pt", "Pt", "I", "I", "I", "I"],
  "frac_coords": [[0.243, 0.699, 0.957], [0.242, 0.698, 0.484], [0.269, 0.309, 0.539], [0.714, 0.699, 0.957], [0.286, 0.301, 0.043], [0.731, 0.691, 0.461], [0.758, 0.302, 0.516], [0.757, 0.301, 0.043], [0.000, 0.500, 0.000], [0.500, 0.500, 0.000], [0.500, 0.500, 0.500], [0.000, 0.500, 0.500], [0.500, 0.000, 0.000], [0.500, 0.000, 0.500], [0.000, 0.000, 0.000], [0.000, 0.000, 0.500]],
  "volume_a3_per_atom": 34.25,
  "mass_density_g_cm3": 7.0,
  "e_tot_ev_per_cell": -85.43,
  "sg": "C2/m, No. 12"
}